Entry 1:
The following is a PBE calculation of an optimized crystal structure of ZnCdPO, from OQMD via LeMat-Bulk.

Computed properties:
Raw total energy ... -3.65 eV/atom
Space group ... Pmc2_1
Calculated volume ... 68.6 Å³/f.u.
ΔE to the lowest computed polymorph ... 0 meV per atom

Cell: 3.0604 6.8797 6.5205 Å, 90.00 90.00 90.00°
With the nearest neighbours (Å) after each atom.
Element x y z (fractional)
1 O 0.0000 0.8475 0.3876  2 Zn 1.99, 2 Cd 2.21-2.23
2 P 0.5000 0.3676 0.3375  2 Zn 2.36, 2 Cd 2.63
3 P 0.5000 0.6324 0.8375  2 Zn 2.36, 2 Cd 2.63
4 Cd 0.0000 0.1320 0.5501  2 O 2.21-2.23
5 O 0.0000 0.1525 0.8876  2 Zn 1.99, 2 Cd 2.21-2.23
6 Cd 0.0000 0.8680 0.0501  2 O 2.21-2.23
7 Zn 0.5000 0.3162 0.9788  2 O 1.99
8 Zn 0.5000 0.6838 0.4788  2 O 1.99

=====

Entry 2:
The following is a PBE calculation of an optimized crystal structure of ZnCdPO, from OQMD via LeMat-Bulk.

Computed properties:
Raw total energy ... -3.63 eV/atom
Space group ... Pmc2_1
Calculated volume ... 69.7 Å³/f.u.
ΔE to the lowest computed polymorph ... 27 meV per atom

Cell: 3.2247 7.0914 6.0930 Å, 90.00 90.00 90.00°
With the nearest neighbours (Å) after each atom.
Element x y z (fractional)
1 P 0.0000 0.6661 0.8891  2 Zn 2.41, 2 Cd 2.53-2.58
2 O 0.5000 0.1151 0.8603  2 Zn 1.96-1.97
3 Zn 0.5000 0.8851 0.0377  2 O 1.96-1.97
4 P 0.0000 0.3339 0.3891  2 Zn 2.41, 2 Cd 2.53-2.58
5 Cd 0.0000 0.3156 0.9668  2 O 2.25
6 O 0.5000 0.8849 0.3603  2 Zn 1.96-1.97
7 Zn 0.5000 0.1149 0.5377  2 O 1.96-1.97
8 Cd 0.0000 0.6844 0.4668  2 O 2.25

=====

Entry 3:
The following is a PBE calculation of an optimized crystal structure of PaCdO3, from OQMD via LeMat-Bulk.

Computed properties:
Raw total energy ... -6.85 eV/atom
Space group ... R-3c
Calculated volume ... 72.1 Å³/f.u.

Cell: 5.7297 5.7297 5.7297 Å, 63.84 63.84 63.84°
With the nearest neighbours (Å) after each atom.
Element x y z (fractional)
1 O 0.7500 0.3912 0.1088  1 Pa 2.17, 2 Cd 2.25
2 Pa 0.7500 0.7500 0.7500  3 O 2.17
3 O 0.1088 0.7500 0.3912  1 Pa 2.17, 2 Cd 2.25
4 O 0.6088 0.8912 0.2500  1 Pa 2.17, 2 Cd 2.25
5 Pa 0.2500 0.2500 0.2500  3 O 2.17
6 O 0.2500 0.6088 0.8912  1 Pa 2.17, 2 Cd 2.25
7 O 0.3912 0.1088 0.7500  1 Pa 2.17, 2 Cd 2.25
8 Cd 0.5000 0.5000 0.5000  6 O 2.25
9 O 0.8912 0.2500 0.6088  1 Pa 2.17, 2 Cd 2.25
10 Cd 0.0000 0.0000 0.0000  6 O 2.25

=====

Entry 4:
The following is a PBE calculation of an optimized crystal structure of PaCdO3, from OQMD via LeMat-Bulk.

Computed properties:
Raw total energy ... -7.09 eV/atom
Space group ... Pnma
Calculated volume ... 71.2 Å³/f.u.

Cell: 5.6837 6.1271 8.1779 Å, 90.00 90.00 90.00°
With the nearest neighbours (Å) after each atom.
Element x y z (fractional)
1 O 0.3276 0.6774 0.9236  2 Cd 2.24-2.29, 1 Pa 2.25
2 Pa 0.0234 0.9280 0.7500  4 O 2.24-2.35
3 Cd 0.0000 0.5000 0.0000  6 O 2.24-2.33
4 Cd 0.5000 0.0000 0.0000  6 O 2.24-2.33
5 O 0.6724 0.3226 0.4236  2 Cd 2.24-2.29, 1 Pa 2.25
6 O 0.1724 0.1774 0.5764  2 Cd 2.24-2.29, 1 Pa 2.25
7 O 0.1699 0.4114 0.2500  2 Pa 2.24-2.35, 2 Cd 2.33
8 Cd 0.5000 0.0000 0.5000  6 O 2.24-2.33
9 O 0.3301 0.9114 0.2500  2 Pa 2.24-2.35, 2 Cd 2.33
10 Pa 0.5234 0.5720 0.2500  4 O 2.24-2.35
11 O 0.1724 0.1774 0.9236  2 Cd 2.24-2.29, 1 Pa 2.25
12 O 0.6724 0.3226 0.0764  2 Cd 2.24-2.29, 1 Pa 2.25
13 O 0.3276 0.6774 0.5764  2 Cd 2.24-2.29, 1 Pa 2.25
14 Pa 0.4766 0.4280 0.7500  4 O 2.24-2.35
15 Pa 0.9766 0.0720 0.2500  4 O 2.24-2.35
16 O 0.8301 0.5886 0.7500  2 Pa 2.24-2.35, 2 Cd 2.33
17 Cd 0.0000 0.5000 0.5000  6 O 2.24-2.33
18 O 0.6699 0.0886 0.7500  2 Pa 2.24-2.35, 2 Cd 2.33
19 O 0.8276 0.8226 0.0764  2 Cd 2.24-2.29, 1 Pa 2.25
20 O 0.8276 0.8226 0.4236  2 Cd 2.24-2.29, 1 Pa 2.25